(one)
{
  "formula": "AgAs2W",
  "functional": "PBE-GGA",
  "state": "optimized geometry",
  "cell": [[6.393, 0.000, 0.000], [0.000, 6.404, 0.000], [0.000, 0.000, 3.279]],
  "species": ["Ag", "Ag", "As", "As", "As", "As", "W", "W"],
  "frac_coords": [[0.000, 0.000, 0.000], [0.500, 0.500, 0.000], [0.250, 0.250, 0.500], [0.250, 0.750, 0.500], [0.750, 0.250, 0.500], [0.750, 0.750, 0.500], [0.000, 0.500, 0.000], [0.500, 0.000, 0.000]],
  "dos_at_fermi_per_ev_cell": 5.70,
  "spacegroup": "Cmmm",
  "total_magnetization_mub_per_fu": 0.00
}

(two)
{
  "formula": "AgAs2W",
  "functional": "PBE-GGA",
  "state": "optimized geometry",
  "cell": [[8.520, 0.000, 0.000], [0.000, 3.151, 0.000], [-0.848, 0.000, 5.374]],
  "species": ["Ag", "Ag", "As", "As", "As", "As", "W", "W"],
  "frac_coords": [[0.000, 0.000, 0.000], [0.500, 0.500, 0.000], [0.224, 0.000, 0.702], [0.276, 0.500, 0.298], [0.724, 0.500, 0.702], [0.776, 0.000, 0.298], [0.000, 0.500, 0.500], [0.500, 0.000, 0.500]],
  "dos_at_fermi_per_ev_cell": 5.32,
  "spacegroup": "C2/m",
  "total_magnetization_mub_per_fu": 0.00
}

What is the least stable structure shown above? It is (one).